DFT (GGA+U) results for a relaxed structure of FeAgN2F.

Output
- VASP energy (eV per atom) = -3.953
- space group = P4/mmm (123)
- density of states at the Fermi level (states/eV per atom) = 0.683
- crystal system = tetragonal
- magnetic moment (Bohr magnetons per cell) = 5.77

Cell lengths 4.061, 4.061, 4.234 Å; angles 90.00, 90.00, 90.00 degrees
Sites, in units of the cell vectors:
Fe: 0.000 0.000 0.000
Ag: 0.500 0.500 0.500
N: 0.000 0.500 0.500
N: 0.500 0.000 0.500
F: 0.500 0.500 0.000